Record 1
TcAgPbO5 PBE-GGA relaxed; energy relative to the elements, uncorrected = -94 kJ/mol of atoms; total moment = 0.5 μB per cell; E = -6.191 eV/atom
1.0
4.441 -4.731 0.000
4.441 4.731 0.000
-3.726 0.000 7.827
Tc Ag Pb O
2 2 2 10
direct
0.127 0.873 0.750
0.873 0.127 0.250
0.206 0.794 0.250
0.794 0.206 0.750
0.500 0.500 0.000
0.500 0.500 0.500
0.159 0.194 0.352
0.194 0.159 0.852
0.210 0.743 0.905
0.257 0.790 0.595
0.431 0.569 0.250
0.569 0.431 0.750
0.743 0.210 0.405
0.790 0.257 0.095
0.806 0.841 0.148
0.841 0.806 0.648

=====

Record 2
AgTePb2O6 PBE-GGA relaxed; energy relative to the elements, uncorrected = -84 kJ/mol of atoms; total moment = 0.5 μB per cell; E = -5.184 eV/atom
1.0
2.966 1.712 5.504
-2.966 1.712 5.504
0.000 -3.425 5.504
Ag Te Pb O
1 1 2 6
direct
0.000 0.000 0.000
0.421 0.421 0.421
0.217 0.217 0.217
0.737 0.737 0.737
0.078 0.602 0.350
0.187 0.525 0.739
0.350 0.078 0.602
0.525 0.739 0.187
0.602 0.350 0.078
0.739 0.187 0.525

=====

Record 3
Ag2TePbO6 PBE-GGA relaxed; energy relative to the elements, uncorrected = -60 kJ/mol of atoms; total moment = 0.0 μB per cell; E = -4.857 eV/atom
1.0
5.526 0.000 0.000
2.530 5.002 0.000
2.421 1.824 5.452
Ag Te Pb O
2 1 1 6
direct
0.000 0.000 0.000
0.483 0.465 0.579
0.802 0.796 0.608
0.269 0.278 0.187
0.008 0.711 0.833
0.158 0.584 0.407
0.458 0.051 0.768
0.598 0.825 0.386
0.703 0.449 0.800
0.873 0.135 0.355

=====

Record 4
Ag2TePbO4 PBE-GGA relaxed; energy relative to the elements, uncorrected = -50 kJ/mol of atoms; total moment = 0.0 μB per cell; E = -4.572 eV/atom
1.0
4.272 -5.823 0.000
4.272 5.823 0.000
-3.522 0.000 5.604
Ag Te Pb O
4 2 2 8
direct
0.000 0.000 0.000
0.000 0.000 0.500
0.000 0.500 0.000
0.500 0.000 0.500
0.500 0.500 0.000
0.500 0.500 0.500
0.000 0.500 0.500
0.500 0.000 0.000
0.182 0.280 0.338
0.263 0.606 0.925
0.280 0.182 0.838
0.394 0.737 0.575
0.606 0.263 0.425
0.720 0.818 0.162
0.737 0.394 0.075
0.818 0.720 0.662

=====

Record 5
U2AgPbO8 PBE-GGA relaxed; energy relative to the elements, uncorrected = -205 kJ/mol of atoms; total moment = 0.0 μB per cell; E = -7.860 eV/atom
1.0
-2.748 2.748 5.343
2.748 -2.748 5.343
2.748 2.748 -5.343
U Ag Pb O
2 1 1 8
direct
0.000 0.000 0.000
0.750 0.250 0.500
0.500 0.500 0.000
0.250 0.750 0.500
0.076 0.595 0.951
0.109 0.120 0.451
0.341 0.891 0.011
0.405 0.357 0.481
0.643 0.124 0.049
0.670 0.659 0.549
0.876 0.924 0.519
0.880 0.330 0.989